This record from the Alexandria database describes La5Pm4Ga4 after structural relaxation. The functional is PBE-GGA.

Calculated values
- Magnetic moment: 0.00 μB/f.u.
- Energy: -4.6580 eV/atom
- ΔH_f (0 K): -8.53 kcal/mol of atoms

Lattice parameters (Å, degrees): 9.046 9.046 9.046 94.67 94.67 146.86
Fractional positions:
La  0.000  0.000  0.000
La  0.311  0.609  0.920
La  0.391  0.311  0.702
La  0.609  0.689  0.298
La  0.689  0.391  0.080
Pm  0.092  0.378  0.470
Pm  0.378  0.908  0.286
Pm  0.622  0.092  0.714
Pm  0.908  0.622  0.530
Ga  0.109  0.765  0.874
Ga  0.235  0.109  0.344
Ga  0.765  0.891  0.656
Ga  0.891  0.235  0.126

This record from the Alexandria database describes Ba2Ag3Sb5 after structural relaxation. The functional is PBE-GGA.

Calculated values
- ΔE_f (raw): -0.4071 eV per atom
- Magnetic moment: 0.00 μB/f.u.
- Energy: -3.7082 eV/atom

Lattice parameters (Å, degrees): 9.907 9.907 7.259 110.99 110.99 96.56
Fractional positions:
Ba  0.109  0.365  0.252
Ba  0.365  0.109  0.752
Ba  0.635  0.891  0.248
Ba  0.891  0.635  0.748
Ag  0.014  0.986  0.750
Ag  0.252  0.491  0.896
Ag  0.491  0.252  0.396
Ag  0.509  0.748  0.604
Ag  0.748  0.509  0.104
Ag  0.986  0.014  0.250
Sb  0.011  0.236  0.645
Sb  0.236  0.011  0.145
Sb  0.253  0.747  0.250
Sb  0.280  0.720  0.750
Sb  0.491  0.509  0.750
Sb  0.509  0.491  0.250
Sb  0.720  0.280  0.250
Sb  0.747  0.253  0.750
Sb  0.764  0.989  0.855
Sb  0.989  0.764  0.355

This record from the Alexandria database describes LiDyTmSe3 after structural relaxation. The functional is PBE-GGA.

Calculated values
- ΔE_f (raw): -1.6116 eV per atom
- Magnetic moment: 0.00 μB/f.u.
- Energy: -5.1851 eV/atom

Lattice parameters (Å, degrees): 8.267 3.928 8.700 90.00 102.99 90.00
Fractional positions:
Li  0.087  0.250  0.084
Li  0.913  0.750  0.916
Dy  0.188  0.250  0.724
Dy  0.812  0.750  0.276
Tm  0.335  0.750  0.335
Tm  0.665  0.250  0.665
Se  0.092  0.250  0.372
Se  0.228  0.750  0.995
Se  0.426  0.750  0.672
Se  0.574  0.250  0.328
Se  0.772  0.250  0.005
Se  0.908  0.750  0.628

This record from the Alexandria database describes ZrHgPd5 after structural relaxation. The functional is PBE-GGA.

Calculated values
- Polymorph energy (0 for the lowest one): 0.0210 eV/atom
- Magnetic moment: 0.00 μB/f.u.
- Energy: -5.2432 eV/atom
- ΔH_f (0 K): -6.22 kcal/mol of atoms

Lattice parameters (Å, degrees): 6.573 6.573 6.996 107.27 107.27 105.02
Fractional positions:
Zr  0.044  0.956  0.750
Zr  0.956  0.044  0.250
Hg  0.500  0.500  0.000
Hg  0.500  0.500  0.500
Pd  0.025  0.701  0.349
Pd  0.129  0.373  0.102
Pd  0.292  0.708  0.750
Pd  0.299  0.975  0.151
Pd  0.373  0.129  0.602
Pd  0.627  0.871  0.398
Pd  0.701  0.025  0.849
Pd  0.708  0.292  0.250
Pd  0.871  0.627  0.898
Pd  0.975  0.299  0.651

Repeat the second record exactly.
This record from the Alexandria database describes Ba2Ag3Sb5 after structural relaxation. The functional is PBE-GGA.

Calculated values
- ΔE_f (raw): -0.4071 eV per atom
- Magnetic moment: 0.00 μB/f.u.
- Energy: -3.7082 eV/atom

Lattice parameters (Å, degrees): 9.907 9.907 7.259 110.99 110.99 96.56
Fractional positions:
Ba  0.109  0.365  0.252
Ba  0.365  0.109  0.752
Ba  0.635  0.891  0.248
Ba  0.891  0.635  0.748
Ag  0.014  0.986  0.750
Ag  0.252  0.491  0.896
Ag  0.491  0.252  0.396
Ag  0.509  0.748  0.604
Ag  0.748  0.509  0.104
Ag  0.986  0.014  0.250
Sb  0.011  0.236  0.645
Sb  0.236  0.011  0.145
Sb  0.253  0.747  0.250
Sb  0.280  0.720  0.750
Sb  0.491  0.509  0.750
Sb  0.509  0.491  0.250
Sb  0.720  0.280  0.250
Sb  0.747  0.253  0.750
Sb  0.764  0.989  0.855
Sb  0.989  0.764  0.355

What did the first record say?
This record from the Alexandria database describes La5Pm4Ga4 after structural relaxation. The functional is PBE-GGA.

Calculated values
- Magnetic moment: 0.00 μB/f.u.
- Energy: -4.6580 eV/atom
- ΔH_f (0 K): -8.53 kcal/mol of atoms

Lattice parameters (Å, degrees): 9.046 9.046 9.046 94.67 94.67 146.86
Fractional positions:
La  0.000  0.000  0.000
La  0.311  0.609  0.920
La  0.391  0.311  0.702
La  0.609  0.689  0.298
La  0.689  0.391  0.080
Pm  0.092  0.378  0.470
Pm  0.378  0.908  0.286
Pm  0.622  0.092  0.714
Pm  0.908  0.622  0.530
Ga  0.109  0.765  0.874
Ga  0.235  0.109  0.344
Ga  0.765  0.891  0.656
Ga  0.891  0.235  0.126

Question: Look up the magnetic moment of the third one.
Answer: 0.00 μB/f.u.